An optimized crystal structure of K3YV2O8, computed with GGA+U.

CIF file:
```
data_K3YV2O8
_cell_length_a 6.0165
_cell_length_b 6.0165
_cell_length_c 7.6856
_cell_angle_alpha 90.00
_cell_angle_beta 90.00
_cell_angle_gamma 120.00
_symmetry_space_group_name_H-M 'P -3 m 1'
_symmetry_Int_Tables_number 164
_symmetry_space_group_name_Hall '-P 3 2"'
loop_
_atom_site_label
_atom_site_type_symbol
_atom_site_fract_x
_atom_site_fract_y
_atom_site_fract_z
K1 K 0.0000 0.0000 0.0000
K2 K 0.3333 0.6667 0.6892
Y1 Y 0.0000 0.0000 0.5000
V1 V 0.3333 0.6667 0.2433
O1 O 0.1745 0.3489 0.3238
O2 O 0.3333 0.6667 0.0247
```

Density of states at the Fermi level ... 0.0 states/eV per cell
VASP energy ... -6.919 eV per atom